Entry 1:
Below is a geometry-optimized Cs2ScZn2Se4 structure, with properties calculated at the PBE level.

**ΔE_f (raw)**: -9.42 eV/f.u.
**Magnetization**: 0.00 μB per cell

Geometry as POSCAR:
```
Cs2ScZn2Se4
1.0
4.084 0.000 0.000
-2.042 8.068 -0.126
0.000 -2.927 8.008
Cs Sc Zn Se
2 1 2 4
direct
0.869 0.739 0.438
0.131 0.261 0.562
0.000 0.000 0.000
0.320 0.639 0.999
0.680 0.361 0.001
0.819 0.637 0.821
0.181 0.363 0.179
0.474 0.949 0.203
0.526 0.051 0.797
```

***

Entry 2:
Below is a geometry-optimized TlIn2WN structure, with properties calculated at the PBE level.

**ΔE_f (raw)**: 10.38 eV/f.u.
**Magnetization**: 4.22 μB per cell

Geometry as POSCAR:
```
TlIn2WN
1.0
5.849 0.000 0.000
0.000 4.025 0.000
0.000 0.000 5.849
Tl N W In
1 1 1 2
direct
0.000 0.000 0.000
0.000 0.500 0.000
0.500 0.500 0.500
0.000 0.000 0.500
0.500 0.000 0.000
```

***

Entry 3:
Below is a geometry-optimized Ho5Tm5Sc structure, with properties calculated at the PBE level.

**ΔH_f (0 K)**: 0.2855 eV/atom
**Magnetization**: 1.21 μB per cell

Geometry as POSCAR:
```
Ho5Tm5Sc
1.0
-5.417 -1.079 1.705
0.350 -1.441 -9.598
2.153 -5.557 3.324
Ho Tm Sc
5 5 1
direct
0.824 0.647 0.068
0.824 0.647 0.579
0.500 0.000 0.000
0.176 0.353 0.421
0.176 0.353 0.932
0.670 0.340 0.171
0.624 0.248 0.625
0.000 0.000 0.500
0.376 0.752 0.375
0.330 0.660 0.829
0.000 0.000 0.000
```

***

Entry 4:
Below is a geometry-optimized PrPa2As4 structure, with properties calculated at the PBE level.

**ΔH_f (0 K)**: -0.9696 eV/atom
**Magnetization**: 0.00 μB per cell

Geometry as POSCAR:
```
PrPa2As4
1.0
4.133 0.000 0.000
-2.067 6.810 0.000
0.000 0.000 13.402
Pr Pa As
2 4 8
direct
0.613 0.225 0.750
0.387 0.775 0.250
0.131 0.262 0.437
0.869 0.738 0.937
0.131 0.262 0.063
0.869 0.738 0.563
0.765 0.530 0.123
0.765 0.530 0.377
0.235 0.470 0.877
0.235 0.470 0.623
0.953 0.905 0.750
0.047 0.095 0.250
0.500 0.000 0.000
0.500 0.000 0.500
```

***

What is the formula in the fourth record?
PrPa2As4

***

What did the first record say?
Below is a geometry-optimized Cs2ScZn2Se4 structure, with properties calculated at the PBE level.

**ΔE_f (raw)**: -9.42 eV/f.u.
**Magnetization**: 0.00 μB per cell

Geometry as POSCAR:
```
Cs2ScZn2Se4
1.0
4.084 0.000 0.000
-2.042 8.068 -0.126
0.000 -2.927 8.008
Cs Sc Zn Se
2 1 2 4
direct
0.869 0.739 0.438
0.131 0.261 0.562
0.000 0.000 0.000
0.320 0.639 0.999
0.680 0.361 0.001
0.819 0.637 0.821
0.181 0.363 0.179
0.474 0.949 0.203
0.526 0.051 0.797
```

***

magnetization of number 1 (Cs2ScZn2Se4)?
0.00 μB per cell